No. 1
KC2 | PBE | relaxed

Results
The total energy is -6.0088 eV per atom. For the density of states at the Fermi level, the calculation gives 0.5 states/eV/cell. As for the space group: Cmmm. As for the formation energy: 506 meV/atom. For the volume, the calculation gives 43.2 Å³/cell.

Cell: 4.384 4.384 3.899 Å, 90.00 90.00 144.79°
Sites, in units of the cell vectors:
C1 0.270 0.730 0.000
C2 0.730 0.270 0.000
K1 0.000 0.000 0.500

---

No. 2
VTcSnRu | PBE | relaxed

Results
The total energy is -8.3756 eV per atom. For the density of states at the Fermi level, the calculation gives 1.6 states/eV/cell. As for the space group: F-43m. As for the formation energy: -185 meV/atom. For the volume, the calculation gives 61.3 Å³/cell.

Cell: 4.426 4.426 4.426 Å, 60.00 60.00 60.00°
Sites, in units of the cell vectors:
V1 0.000 0.000 0.000
Ru1 0.750 0.750 0.750
Sn1 0.500 0.500 0.500
Tc1 0.250 0.250 0.250

---

No. 3
Pm3As | PBE | relaxed

Results
The total energy is -5.3037 eV per atom. For the density of states at the Fermi level, the calculation gives 2.4 states/eV/cell. As for the space group: Imm2. As for the formation energy: -578 meV/atom. For the volume, the calculation gives 119.7 Å³/cell.

Cell: 3.880 6.476 6.078 Å, 122.19 108.61 90.00°
Sites, in units of the cell vectors:
As1 0.000 0.073 0.000
Pm1 0.693 0.036 0.386
Pm2 0.307 0.650 0.614
Pm3 0.500 0.407 0.000

---

No. 4
LiPmSc2Ga4 | PBE | relaxed

Results
The total energy is -4.4160 eV per atom. For the density of states at the Fermi level, the calculation gives 3.6 states/eV/cell. As for the space group: R-3m. As for the formation energy: -487 meV/atom. For the volume, the calculation gives 160.6 Å³/cell.

Cell: 4.773 4.773 8.594 Å, 73.88 73.88 60.00°
Sites, in units of the cell vectors:
Ga1 0.128 0.128 0.615
Ga2 0.618 0.618 0.147
Ga3 0.382 0.382 0.853
Ga4 0.872 0.872 0.385
Sc1 0.243 0.243 0.270
Sc2 0.757 0.757 0.730
Li1 0.500 0.500 0.500
Pm1 0.000 0.000 0.000

---

No. 5
MnCu2CSe | PBE | relaxed

Results
The total energy is -4.4703 eV per atom. For the density of states at the Fermi level, the calculation gives 2.6 states/eV/cell. As for the space group: P4/mmm. For the volume, the calculation gives 83.3 Å³/cell.

Cell: 4.580 3.972 4.580 Å, 90.00 90.00 90.00°
Each line ends with the local moment (μB).
Sites, in units of the cell vectors:
C1 0.000 0.500 0.000  -0.10
Cu1 0.500 0.000 0.000  0.03
Cu2 0.000 0.000 0.500  0.00
Mn1 0.500 0.500 0.500  4.20
Se1 0.000 0.000 0.000  0.03

---

No. 6
Ca8Sn3 | PBE | relaxed

Results
The total energy is -2.9386 eV per atom. For the density of states at the Fermi level, the calculation gives 6.3 states/eV/cell. As for the space group: R-3m. As for the formation energy: -391 meV/atom. For the volume, the calculation gives 419.1 Å³/cell.

Cell: 7.483 7.483 7.483 Å, 89.90 89.90 89.90°
Sites, in units of the cell vectors:
Ca1 0.253 0.252 0.749
Ca2 0.254 0.254 0.254
Ca3 0.252 0.749 0.253
Ca4 0.251 0.747 0.748
Ca5 0.747 0.748 0.251
Ca6 0.748 0.251 0.747
Ca7 0.749 0.253 0.252
Ca8 0.746 0.746 0.746
Sn1 0.500 0.500 0.000
Sn2 0.500 0.000 0.500
Sn3 0.000 0.500 0.500

---

No. 7
Ni2HgPd2 | PBE | relaxed

Results
The total energy is -4.3203 eV per atom. For the density of states at the Fermi level, the calculation gives 12.8 states/eV/cell. As for the space group: P4/mbm. As for the formation energy: 130 meV/atom. For the volume, the calculation gives 151.2 Å³/cell.

Cell: 7.201 7.201 2.916 Å, 90.00 90.00 90.00°
Each line ends with the local moment (μB).
Sites, in units of the cell vectors:
Pd1 0.826 0.326 0.500  0.14
Pd2 0.174 0.674 0.500  0.14
Pd3 0.326 0.174 0.500  0.14
Pd4 0.674 0.826 0.500  0.14
Hg1 0.500 0.500 0.000  -0.01
Hg2 0.000 0.000 0.000  -0.01
Ni1 0.619 0.119 0.000  0.66
Ni2 0.881 0.619 0.000  0.65
Ni3 0.381 0.881 0.000  0.66
Ni4 0.119 0.381 0.000  0.65

---

No. 8
CaOsPb3 | PBE | relaxed

Results
The total energy is -4.4797 eV per atom. For the density of states at the Fermi level, the calculation gives 8.3 states/eV/cell. As for the space group: Pm-3m. As for the formation energy: 392 meV/atom. For the volume, the calculation gives 153.3 Å³/cell.

Cell: 5.353 5.353 5.353 Å, 90.00 90.00 90.00°
Sites, in units of the cell vectors:
Pb1 0.000 0.000 0.500
Pb2 0.500 0.000 0.000
Pb3 0.000 0.500 0.000
Ca1 0.500 0.500 0.500
Os1 0.000 0.000 0.000

---

No. 9
La3SnS6 | PBE | relaxed

Results
The total energy is -6.0744 eV per atom. For the density of states at the Fermi level, the calculation gives 3.2 states/eV/cell. As for the space group: Cmc2_1. For the volume, the calculation gives 540.3 Å³/cell.

Cell: 6.964 8.908 8.908 Å, 102.08 90.00 90.00°
Sites, in units of the cell vectors:
S1 0.682 0.582 0.097
S2 0.188 0.686 0.639
S3 0.645 0.229 0.771
S4 0.145 0.771 0.229
S5 0.242 0.010 0.990
S6 0.188 0.361 0.314
S7 0.182 0.418 0.903
S8 0.688 0.314 0.361
S9 0.682 0.903 0.418
S10 0.182 0.097 0.582
S11 0.742 0.990 0.010
S12 0.688 0.639 0.686
La1 0.895 0.601 0.399
La2 0.483 0.915 0.708
La3 0.983 0.085 0.292
La4 0.983 0.708 0.915
La5 0.483 0.292 0.085
La6 0.395 0.399 0.601
Sn1 0.499 0.833 0.167
Sn2 0.999 0.167 0.833

---

No. 10
SrScI2O | PBE | relaxed

Results
The total energy is -4.8929 eV per atom. For the density of states at the Fermi level, the calculation gives 1.5 states/eV/cell. As for the space group: P4/mmm. For the volume, the calculation gives 145.0 Å³/cell.

Cell: 6.056 6.056 3.953 Å, 90.00 90.00 90.00°
Each line ends with the local moment (μB).
Sites, in units of the cell vectors:
O1 0.000 0.000 0.500  0.00
Sc1 0.000 0.000 0.000  0.03
I1 0.500 0.000 0.000  0.00
I2 0.000 0.500 0.000  0.00
Sr1 0.500 0.500 0.500  0.07

---

No. 11
EuMg4Zn | PBE | relaxed

Results
The total energy is -2.9120 eV per atom. For the density of states at the Fermi level, the calculation gives 9.5 states/eV/cell. As for the space group: F-43m. As for the formation energy: 76 meV/atom. For the volume, the calculation gives 153.4 Å³/cell.

Cell: 6.008 6.008 6.008 Å, 60.00 60.00 60.00°
Each line ends with the local moment (μB).
Sites, in units of the cell vectors:
Mg1 0.625 0.625 0.124  0.01
Mg2 0.625 0.625 0.625  0.01
Mg3 0.124 0.625 0.625  0.01
Mg4 0.625 0.124 0.625  0.01
Eu1 0.250 0.250 0.250  6.93
Zn1 0.000 0.000 0.000  0.01

---

No. 12
Ce6Sn3Ge | PBE | relaxed

Results
The total energy is -5.6686 eV per atom. For the density of states at the Fermi level, the calculation gives 56.5 states/eV/cell. As for the space group: P2_1/c. As for the formation energy: -446 meV/atom. For the volume, the calculation gives 568.3 Å³/cell.

Cell: 5.645 8.805 11.581 Å, 90.00 80.86 90.00°
Each line ends with the local moment (μB).
Sites, in units of the cell vectors:
Ce1 0.957 0.640 0.555  0.86
Ce2 0.503 0.828 0.404  0.88
Ce3 0.043 0.360 0.445  0.86
Ce4 0.628 0.469 0.249  0.70
Ce5 0.003 0.672 0.904  0.88
Ce6 0.543 0.140 0.945  0.86
Ce7 0.372 0.531 0.751  0.70
Ce8 0.128 0.031 0.749  0.70
Ce9 0.497 0.172 0.596  0.88
Ce10 0.457 0.860 0.055  0.86
Ce11 0.997 0.328 0.096  0.88
Ce12 0.872 0.969 0.251  0.70
Ge1 0.000 0.000 0.000  -0.03
Ge2 0.500 0.500 0.500  -0.03
Sn1 0.619 0.859 0.747  -0.02
Sn2 0.500 0.500 0.000  -0.02
Sn3 0.881 0.359 0.753  -0.02
Sn4 0.119 0.641 0.247  -0.02
Sn5 0.381 0.141 0.253  -0.02
Sn6 0.000 0.000 0.500  -0.02

---

No. 13
MgSb3F | PBE | relaxed

Results
The total energy is -2.8775 eV per atom. For the density of states at the Fermi level, the calculation gives 4.3 states/eV/cell. As for the space group: Pm-3m. For the volume, the calculation gives 148.4 Å³/cell.

Cell: 5.294 5.294 5.294 Å, 90.00 90.00 90.00°
Sites, in units of the cell vectors:
Sb1 0.000 0.500 0.000
Sb2 0.500 0.000 0.000
Sb3 0.000 0.000 0.500
F1 0.500 0.500 0.500
Mg1 0.000 0.000 0.000

---

No. 14
NdCuAg | PBE | relaxed

Results
The total energy is -3.8064 eV per atom. For the density of states at the Fermi level, the calculation gives 11.7 states/eV/cell. As for the space group: P2_13. As for the formation energy: 99 meV/atom. For the volume, the calculation gives 302.1 Å³/cell.

Cell: 6.710 6.710 6.710 Å, 90.00 90.00 90.00°
Sites, in units of the cell vectors:
Nd1 0.477 0.977 0.523
Nd2 0.523 0.477 0.977
Nd3 0.023 0.023 0.023
Nd4 0.977 0.523 0.477
Ag1 0.274 0.274 0.274
Ag2 0.774 0.226 0.726
Ag3 0.726 0.774 0.226
Ag4 0.226 0.726 0.774
Cu1 0.994 0.494 0.006
Cu2 0.494 0.006 0.994
Cu3 0.506 0.506 0.506
Cu4 0.006 0.994 0.494

---

No. 15
Tb4CdCo | PBE | relaxed

Results
The total energy is -4.6692 eV per atom. For the density of states at the Fermi level, the calculation gives 15.2 states/eV/cell. As for the space group: F-43m. As for the formation energy: -246 meV/atom. For the volume, the calculation gives 611.6 Å³/cell.

Cell: 9.528 9.528 9.528 Å, 60.00 60.00 60.00°
Sites, in units of the cell vectors:
Tb1 0.597 0.210 0.597
Tb2 0.438 0.062 0.438
Tb3 0.062 0.438 0.438
Tb4 0.597 0.597 0.210
Tb5 0.597 0.597 0.597
Tb6 0.812 0.188 0.188
Tb7 0.188 0.812 0.188
Tb8 0.062 0.062 0.438
Tb9 0.188 0.188 0.812
Tb10 0.438 0.062 0.062
Tb11 0.812 0.188 0.812
Tb12 0.188 0.812 0.812
Tb13 0.812 0.812 0.188
Tb14 0.438 0.438 0.062
Tb15 0.210 0.597 0.597
Tb16 0.062 0.438 0.062
Co1 0.827 0.391 0.391
Co2 0.391 0.827 0.391
Co3 0.391 0.391 0.827
Co4 0.391 0.391 0.391
Cd1 0.830 0.509 0.830
Cd2 0.509 0.830 0.830
Cd3 0.830 0.830 0.830
Cd4 0.830 0.830 0.509

---

No. 16
BeAsIr4 | PBE | relaxed

Results
The total energy is -6.6646 eV per atom. For the density of states at the Fermi level, the calculation gives 5.2 states/eV/cell. As for the space group: F-43m. As for the formation energy: 639 meV/atom. For the volume, the calculation gives 97.9 Å³/cell.

Cell: 5.173 5.173 5.173 Å, 60.00 60.00 60.00°
Sites, in units of the cell vectors:
Ir1 0.625 0.625 0.124
Ir2 0.625 0.124 0.625
Ir3 0.625 0.625 0.625
Ir4 0.124 0.625 0.625
Be1 0.000 0.000 0.000
As1 0.250 0.250 0.250

---

No. 17
Mg2ScNi | PBE | relaxed

Results
The total energy is -3.9152 eV per atom. For the density of states at the Fermi level, the calculation gives 2.3 states/eV/cell. As for the space group: P4/mmm. As for the formation energy: -90 meV/atom. For the volume, the calculation gives 73.5 Å³/cell.

Cell: 3.953 3.953 4.704 Å, 90.00 90.00 90.00°
Sites, in units of the cell vectors:
Mg1 0.000 0.000 0.000
Mg2 0.500 0.500 0.000
Sc1 0.000 0.500 0.500
Ni1 0.500 0.000 0.500

---

No. 18
ThAgHgBr6 | PBE | relaxed

Results
The total energy is -3.3222 eV per atom. For the density of states at the Fermi level, the calculation gives 5.0 states/eV/cell. As for the space group: C2. For the volume, the calculation gives 323.5 Å³/cell.

Cell: 7.255 7.255 7.098 Å, 89.89 90.18 59.98°
Sites, in units of the cell vectors:
Br1 0.004 0.645 0.734
Br2 0.001 0.352 0.266
Br3 0.350 0.648 0.267
Br4 0.352 0.002 0.735
Br5 0.648 0.350 0.733
Br6 0.645 0.003 0.266
Ag1 0.667 0.667 0.500
Hg1 0.000 0.000 0.000
Th1 0.333 0.333 0.500

---

No. 19
BeH | PBE | relaxed

Results
The total energy is -3.2746 eV per atom. For the density of states at the Fermi level, the calculation gives 0.4 states/eV/cell. As for the space group: P-1. For the volume, the calculation gives 28.7 Å³/cell.

Cell: 2.234 2.234 6.675 Å, 90.21 94.23 120.00°
Sites, in units of the cell vectors:
Be1 0.791 0.144 0.863
Be2 0.209 0.856 0.137
H1 0.476 0.990 0.557
H2 0.524 0.010 0.443

---

No. 20
Cr2HRh | PBE | relaxed

Results
The total energy is -7.0969 eV per atom. For the density of states at the Fermi level, the calculation gives 9.6 states/eV/cell. As for the space group: Fd-3m. For the volume, the calculation gives 86.0 Å³/cell.

Cell: 4.954 4.954 4.955 Å, 60.01 60.01 90.00°
Sites, in units of the cell vectors:
H1 0.500 0.500 0.000
H2 0.250 0.750 0.500
Cr1 0.375 0.624 0.750
Cr2 0.376 0.125 0.250
Cr3 0.875 0.626 0.750
Cr4 0.374 0.625 0.250
Rh1 0.750 0.250 0.500
Rh2 0.000 0.000 0.000